Here is a relaxed RbPa2VO8 crystal from the Alexandria database. Energies are from PBE+U.

a = 5.010 Å, b = 5.097 Å, c = 7.125 Å
α = 89.80°, β = 89.75°, γ = 86.66°
Fractional positions:
Rb1 0.000 0.000 0.000
Pa1 0.499 0.499 0.255
Pa2 0.501 0.501 0.745
V1 0.000 0.000 0.500
O1 0.201 0.817 0.682
O2 0.203 0.819 0.318
O3 0.291 0.307 0.499
O4 0.311 0.368 0.998
O5 0.689 0.632 0.002
O6 0.709 0.693 0.501
O7 0.797 0.181 0.682
O8 0.799 0.183 0.318

As for the size of the total moment: 0.0 μB/f.u. The crystal system is triclinic. The total energy comes out at -8.241 eV/atom.